# 1
A plane-wave DFT calculation with GGA-PBE was carried out for a geometry-optimized Sm3Y2Er6 structure.

Its total energy is -4.9306 eV per atom. The calculation puts the energy above the most stable polymorph in this dataset at 0.000 eV per atom.

The space group is P-1 (No. 2) and the conventional cell measures 6.1399, 7.9176 and 7.9529 Å, with angles of 107.45, 104.72 and 97.29 degrees. The inequivalent atoms are Sm at (0.0000, 0.0000, 0.0000), Sm at (0.3635, 0.2744, 0.4537), Y at (0.0916, 0.8172, 0.3630), Er at (0.1820, 0.6364, 0.7290), Er at (0.2740, 0.4548, 0.0903) and Er at (0.4545, 0.0924, 0.8202).

# 2
A plane-wave DFT calculation with GGA-PBE was carried out for a geometry-optimized Sm6Y2Er structure.

Its total energy is -4.9319 eV per atom. The calculation puts the energy above the most stable polymorph in this dataset at 0.029 eV per atom.

The space group is C2/m (No. 12) and the conventional cell measures 16.4260, 7.0080 and 5.6543 Å, with angles of 90.00, 110.06 and 90.00 degrees. The inequivalent atoms are Sm at (0.1109, 0.2299, 0.1115), Sm at (0.2126, 0.0000, 0.7129), Y at (0.1379, 0.5000, 0.6385) and Er at (0.0000, 0.0000, 0.5000).

# 3
A plane-wave DFT calculation with GGA-PBE was carried out for a geometry-optimized Sm3Y2Er5 structure.

Its total energy is -4.7909 eV per atom. The calculation puts the energy above the most stable polymorph in this dataset at 0.000 eV per atom.

The space group is C2/c (No. 15) and the conventional cell measures 10.6629, 15.6803 and 9.4636 Å, with angles of 90.00, 124.12 and 90.00 degrees. The inequivalent atoms are Sm at (0.0000, 0.2320, 0.2500), Sm at (0.1460, 0.1240, 0.0477), Y at (0.1517, 0.3808, 0.5477), Er at (0.0000, 0.0242, 0.2500), Er at (0.0000, 0.2707, 0.7500), Er at (0.0000, 0.4715, 0.7500) and Er at (0.2418, 0.3846, 0.2339).